# 1
This record from the Alexandria database describes HoPuSc after structural relaxation. The functional is PBE-GGA.

Structure (CIF):
```
data_HoPuSc
_chemical_formula_sum 'Ho4 Pu4 Sc4'
_space_group_name_H-M_alt 'C 1 2/m 1'
_space_group_IT_number 12
_space_group_name_Hall '-C 2y'
_cell_length_a 6.6194
_cell_length_b 6.5052
_cell_length_c 7.9098
_cell_angle_alpha 90.00
_cell_angle_beta 103.85
_cell_angle_gamma 90.00
loop_
_atom_site_label
_atom_site_type_symbol
_atom_site_fract_x
_atom_site_fract_y
_atom_site_fract_z
Ho1 Ho 0.1644 0.0000 0.1882
Pu1 Pu 0.1521 0.5000 0.1759
Sc1 Sc 0.0000 0.2491 0.5000
```

Results
* ΔE to the lowest computed polymorph: 157 meV/atom
* E_tot: -8.15 eV per atom
* formation energy from the elements: 0.269 eV/atom

# 2
This record from the Alexandria database describes Ac6GaRu2I3 after structural relaxation. The functional is PBE-GGA.

Structure (CIF):
```
data_Ac6GaRu2I3
_chemical_formula_sum 'Ac12 Ga2 Ru4 I6'
_space_group_name_H-M_alt 'C 1 2/m 1'
_space_group_IT_number 12
_space_group_name_Hall '-C 2y'
_cell_length_a 7.7280
_cell_length_b 13.3813
_cell_length_c 8.9727
_cell_angle_alpha 90.00
_cell_angle_beta 106.75
_cell_angle_gamma 90.00
loop_
_atom_site_label
_atom_site_type_symbol
_atom_site_fract_x
_atom_site_fract_y
_atom_site_fract_z
Ac1 Ac 0.2061 0.0000 0.1868
Ac2 Ac 0.2408 0.3217 0.1875
Ga1 Ga 0.0000 0.5000 0.0000
Ru1 Ru 0.0000 0.1669 0.0000
I1 I 0.0000 0.0000 0.5000
I2 I 0.0000 0.3365 0.5000
```

Results
* uncorrected formation energy: -73 kJ/mol of atoms
* E_tot: -4.99 eV per atom

# 3
This record from the Alexandria database describes NaYTi after structural relaxation. The functional is PBE-GGA.

Structure (CIF):
```
data_NaYTi
_chemical_formula_sum 'Na4 Y4 Ti4'
_space_group_name_H-M_alt 'C 1 2/m 1'
_space_group_IT_number 12
_space_group_name_Hall '-C 2y'
_cell_length_a 8.0016
_cell_length_b 4.6228
_cell_length_c 9.7782
_cell_angle_alpha 90.00
_cell_angle_beta 90.07
_cell_angle_gamma 90.00
loop_
_atom_site_label
_atom_site_type_symbol
_atom_site_fract_x
_atom_site_fract_y
_atom_site_fract_z
Na1 Na 0.1673 0.0000 0.3980
Y1 Y 0.0003 0.5000 0.1707
Ti1 Ti 0.1666 0.0000 0.9993
```

Results
* ΔE to the lowest computed polymorph: 234 meV/atom
* E_tot: -4.89 eV per atom
* formation energy from the elements: 0.341 eV/atom

# 4
This record from the Alexandria database describes Th2Pa3C4 after structural relaxation. The functional is PBE-GGA.

Structure (CIF):
```
data_Th2Pa3C4
_chemical_formula_sum 'Th4 Pa6 C8'
_space_group_name_H-M_alt 'C 1 2/m 1'
_space_group_IT_number 12
_space_group_name_Hall '-C 2y'
_cell_length_a 12.0206
_cell_length_b 3.5975
_cell_length_c 8.9322
_cell_angle_alpha 90.00
_cell_angle_beta 119.12
_cell_angle_gamma 90.00
loop_
_atom_site_label
_atom_site_type_symbol
_atom_site_fract_x
_atom_site_fract_y
_atom_site_fract_z
Th1 Th 0.1010 0.0000 0.3931
Pa1 Pa 0.0000 0.5000 0.0000
Pa2 Pa 0.2021 0.5000 0.8043
C1 C 0.1131 0.0000 0.9201
C2 C 0.2001 0.5000 0.2858
```

Results
* E_tot: -9.27 eV per atom
* formation energy from the elements: -0.359 eV/atom

# 5
This record from the Alexandria database describes Ce7TlGa2 after structural relaxation. The functional is PBE-GGA.

Structure (CIF):
```
data_Ce7TlGa2
_chemical_formula_sum 'Ce14 Tl2 Ga4'
_space_group_name_H-M_alt 'C m m m'
_space_group_IT_number 65
_space_group_name_Hall '-C 2 2'
_cell_length_a 8.2942
_cell_length_b 14.5406
_cell_length_c 5.3915
_cell_angle_alpha 90.00
_cell_angle_beta 90.00
_cell_angle_gamma 90.00
loop_
_atom_site_label
_atom_site_type_symbol
_atom_site_fract_x
_atom_site_fract_y
_atom_site_fract_z
Ce1 Ce 0.0000 0.0000 0.0000
Ce2 Ce 0.0000 0.2645 0.5000
Ce3 Ce 0.1649 0.3845 0.0000
Tl1 Tl 0.0000 0.5000 0.5000
Ga1 Ga 0.0000 0.1970 0.0000
```

Results
* E_tot: -4.83 eV per atom
* formation energy from the elements: 0.163 eV/atom

# 6
This record from the Alexandria database describes Co2PdPt after structural relaxation. The functional is PBE-GGA.

Structure (CIF):
```
data_Co2PdPt
_chemical_formula_sum 'Co2 Pd1 Pt1'
_space_group_name_H-M_alt 'P 4/m m m'
_space_group_IT_number 123
_space_group_name_Hall '-P 4 2'
_cell_length_a 3.8048
_cell_length_b 3.8048
_cell_length_c 3.7218
_cell_angle_alpha 90.00
_cell_angle_beta 90.00
_cell_angle_gamma 90.00
loop_
_atom_site_label
_atom_site_type_symbol
_atom_site_fract_x
_atom_site_fract_y
_atom_site_fract_z
Co1 Co 0.0000 0.5000 0.0000
Pd1 Pd 0.0000 0.0000 0.5000
Pt1 Pt 0.5000 0.5000 0.5000
```

Results
* E_tot: -6.37 eV per atom
* formation energy from the elements: -0.012 eV/atom

| no. | DOS(E_F) (states/eV/atom) |
| --- | --- |
| 1 | 3.12 |
| 2 | 0.66 |
| 3 | 1.57 |
| 4 | 1.14 |
| 5 | 3.21 |
| 6 | 1.22 |